VASP calculation (PBE-GGA) on a relaxed structure of Pm2NdSm3Tm6.

Computed properties:
Total magnetization, μB per formula unit: 0.000
Density of states at the Fermi level, states/eV/cell: 25.57
ΔH_f (0 K), meV per atom: 17
DFT total energy, eV/atom: -4.588

a b c (Å): 6.193 10.722 11.694
angles (deg): 90.00 100.12 90.00
Space group C2/m (No. 12)
Inequivalent atoms, fractional coordinates:
Pm1 0.000 0.167 0.000 [4 per cell]
Nd1 0.000 0.500 0.000 [2 per cell]
Sm1 0.000 0.000 0.500 [2 per cell]
Sm2 0.000 0.333 0.500 [4 per cell]
Tm1 0.249 0.167 0.749 [8 per cell]
Tm2 0.249 0.500 0.749 [4 per cell]

VASP calculation (PBE-GGA) on a relaxed structure of Pm2NdSm6Tm.

Computed properties:
Total magnetization, μB per formula unit: 0.000
Density of states at the Fermi level, states/eV/cell: 56.13
ΔH_f (0 K), meV per atom: 114
DFT total energy, eV/atom: -4.591

a b c (Å): 9.202 15.286 9.766
angles (deg): 90.00 97.95 90.00
Space group C2/c (No. 15)
Inequivalent atoms, fractional coordinates:
Pm1 0.250 0.051 0.044 [8 per cell]
Nd1 0.000 0.021 0.750 [4 per cell]
Sm1 0.064 0.187 0.445 [8 per cell]
Sm2 0.100 0.393 0.619 [8 per cell]
Sm3 0.208 0.222 0.812 [8 per cell]
Tm1 0.000 0.409 0.250 [4 per cell]

VASP calculation (PBE-GGA) on a relaxed structure of Pm2NdSm2Tm.

Computed properties:
Total magnetization, μB per formula unit: 0.000
Density of states at the Fermi level, states/eV/cell: 18.23
ΔH_f (0 K), meV per atom: 58
DFT total energy, eV/atom: -4.638

a b c (Å): 7.078 5.712 9.900
angles (deg): 90.00 90.00 90.00
Space group Pmma (No. 51)
Inequivalent atoms, fractional coordinates:
Pm1 0.250 0.000 0.155 [2 per cell]
Pm2 0.250 0.500 0.679 [2 per cell]
Nd1 0.250 0.000 0.826 [2 per cell]
Sm1 0.000 0.000 0.500 [2 per cell]
Sm2 0.250 0.500 0.340 [2 per cell]
Tm1 0.000 0.500 0.000 [2 per cell]

VASP calculation (PBE-GGA) on a relaxed structure of Pm6Nd3Sm2Tm.

Computed properties:
Total magnetization, μB per formula unit: 0.000
Density of states at the Fermi level, states/eV/cell: 34.88
ΔH_f (0 K), meV per atom: 15
DFT total energy, eV/atom: -4.712

a b c (Å): 6.309 10.926 12.076
angles (deg): 90.00 100.06 90.00
Space group C2/m (No. 12)
Inequivalent atoms, fractional coordinates:
Pm1 0.249 0.166 0.247 [8 per cell]
Pm2 0.250 0.000 0.753 [4 per cell]
Nd1 0.000 0.167 0.500 [4 per cell]
Nd2 0.000 0.500 0.500 [2 per cell]
Sm1 0.000 0.333 0.000 [4 per cell]
Tm1 0.000 0.000 0.000 [2 per cell]

VASP calculation (PBE-GGA) on a relaxed structure of PmNd4Sm2Tm.

Computed properties:
Total magnetization, μB per formula unit: 0.000
Density of states at the Fermi level, states/eV/cell: 11.24
ΔH_f (0 K), meV per atom: 13
DFT total energy, eV/atom: -4.704

a b c (Å): 5.144 5.161 10.266
angles (deg): 90.00 90.00 90.00
Space group Pmmm (No. 47)
Inequivalent atoms, fractional coordinates:
Pm1 0.000 0.000 0.000 [1 per cell]
Nd1 0.000 0.500 0.253 [2 per cell]
Nd2 0.500 0.000 0.252 [2 per cell]
Sm1 0.000 0.000 0.500 [1 per cell]
Sm2 0.500 0.500 0.000 [1 per cell]
Tm1 0.500 0.500 0.500 [1 per cell]

VASP calculation (PBE-GGA) on a relaxed structure of PmNdSmTm.

Computed properties:
Energy above the most stable polymorph in this dataset, eV per formula unit: 0.49
Total magnetization, μB per formula unit: 0.001
Density of states at the Fermi level, states/eV/cell: 37.74
ΔH_f (0 K), meV per atom: 134
DFT total energy, eV/atom: -4.543

a b c (Å): 8.131 8.131 8.131
angles (deg): 90.00 90.00 90.00
Space group F-43m (No. 216)
Inequivalent atoms, fractional coordinates:
Pm1 0.000 0.000 0.000 [4 per cell]
Nd1 0.250 0.250 0.250 [4 per cell]
Sm1 0.250 0.250 0.750 [4 per cell]
Tm1 0.000 0.000 0.500 [4 per cell]

VASP calculation (PBE-GGA) on a relaxed structure of Pm3NdSm6Tm2.

Computed properties:
Total magnetization, μB per formula unit: 0.000
Density of states at the Fermi level, states/eV/cell: 32.21
ΔH_f (0 K), meV per atom: 16
DFT total energy, eV/atom: -4.673

a b c (Å): 6.263 10.843 11.986
angles (deg): 90.00 100.02 90.00
Space group C2/m (No. 12)
Inequivalent atoms, fractional coordinates:
Pm1 0.000 0.000 0.000 [2 per cell]
Pm2 0.000 0.333 0.000 [4 per cell]
Nd1 0.000 0.500 0.500 [2 per cell]
Sm1 0.248 0.000 0.747 [4 per cell]
Sm2 0.250 0.167 0.253 [8 per cell]
Tm1 0.000 0.167 0.500 [4 per cell]

VASP calculation (PBE-GGA) on a relaxed structure of PmNd3SmTm.

Computed properties:
Total magnetization, μB per formula unit: 0.000
Density of states at the Fermi level, states/eV/cell: 41.62
ΔH_f (0 K), meV per atom: 119
DFT total energy, eV/atom: -4.589

a b c (Å): 5.925 11.514 11.927
angles (deg): 90.00 90.00 90.00
Space group Cmcm (No. 63)
Inequivalent atoms, fractional coordinates:
Pm1 0.000 0.028 0.250 [4 per cell]
Nd1 0.000 0.171 0.529 [8 per cell]
Nd2 0.000 0.363 0.750 [4 per cell]
Sm1 0.000 0.500 0.000 [4 per cell]
Tm1 0.000 0.332 0.250 [4 per cell]

VASP calculation (PBE-GGA) on a relaxed structure of PmNdSm2Tm4.

Computed properties:
Total magnetization, μB per formula unit: 2.661
Density of states at the Fermi level, states/eV/cell: 70.86
ΔH_f (0 K), meV per atom: 421
DFT total energy, eV/atom: -4.184

a b c (Å): 13.618 13.247 6.799
angles (deg): 90.00 119.95 90.00
Space group C2/c (No. 15)
Inequivalent atoms, fractional coordinates:
Pm1 0.000 0.000 0.000 [4 per cell]
Nd1 0.250 0.250 0.000 [4 per cell]
Sm1 0.000 0.500 0.000 [4 per cell]
Sm2 0.250 0.250 0.500 [4 per cell]
Tm1 0.000 0.250 0.000 [8 per cell]
Tm2 0.250 0.000 0.001 [8 per cell]

VASP calculation (PBE-GGA) on a relaxed structure of PmNdSm6Tm2.

Computed properties:
Total magnetization, μB per formula unit: 0.000
Density of states at the Fermi level, states/eV/cell: 58.00
ΔH_f (0 K), meV per atom: 118
DFT total energy, eV/atom: -4.560

a b c (Å): 9.333 15.105 9.608
angles (deg): 90.00 96.80 90.00
Space group C2/c (No. 15)
Inequivalent atoms, fractional coordinates:
Pm1 0.000 0.034 0.250 [4 per cell]
Nd1 0.000 0.408 0.750 [4 per cell]
Sm1 0.066 0.175 0.943 [8 per cell]
Sm2 0.093 0.389 0.117 [8 per cell]
Sm3 0.214 0.227 0.319 [8 per cell]
Tm1 0.248 0.048 0.550 [8 per cell]

VASP calculation (PBE-GGA) on a relaxed structure of Pm2NdSmTm2.

Computed properties:
Total magnetization, μB per formula unit: 0.000
Density of states at the Fermi level, states/eV/cell: 19.94
ΔH_f (0 K), meV per atom: 266
DFT total energy, eV/atom: -4.389

a b c (Å): 6.555 18.183 3.413
angles (deg): 90.00 90.00 90.00
Space group Pnnm (No. 58)
Inequivalent atoms, fractional coordinates:
Pm1 0.220 0.189 0.000 [4 per cell]
Nd1 0.000 0.000 0.000 [2 per cell]
Sm1 0.000 0.500 0.000 [2 per cell]
Tm1 0.218 0.353 0.500 [4 per cell]

VASP calculation (PBE-GGA) on a relaxed structure of PmNdSm4Tm2.

Computed properties:
Total magnetization, μB per formula unit: 0.001
Density of states at the Fermi level, states/eV/cell: 75.57
ΔH_f (0 K), meV per atom: 401
DFT total energy, eV/atom: -4.266

a b c (Å): 13.699 13.278 6.858
angles (deg): 90.00 119.80 90.00
Space group C2/c (No. 15)
Inequivalent atoms, fractional coordinates:
Pm1 0.000 0.000 0.000 [4 per cell]
Nd1 0.250 0.250 0.000 [4 per cell]
Sm1 0.005 0.255 0.005 [8 per cell]
Sm2 0.247 0.497 0.469 [8 per cell]
Tm1 0.000 0.500 0.000 [4 per cell]
Tm2 0.250 0.250 0.500 [4 per cell]